LiNi3Pb after structural relaxation, computed with PBE-GGA.

a = 4.109 Å, b = 4.109 Å, c = 4.109 Å
α = 90.00°, β = 90.00°, γ = 90.00°
Space group Pm-3m (No. 221)
Inequivalent atoms, fractional coordinates:
Li: 0.000 0.000 0.000 (multiplicity 1)
Ni: 0.000 0.000 0.500 (multiplicity 3)
Pb: 0.500 0.500 0.500 (multiplicity 1)

Its crystal system is cubic. For the polymorph energy (0 for the lowest one), the calculation gives 0.0 kJ/mol of atoms.

***

Li2Ni2Pb after structural relaxation, computed with PBE-GGA.

a = 6.649 Å, b = 6.649 Å, c = 3.541 Å
α = 90.00°, β = 90.00°, γ = 90.00°
Space group P4/mbm (No. 127)
Inequivalent atoms, fractional coordinates:
Li: 0.162 0.338 0.000 (multiplicity 4)
Ni: 0.126 0.626 0.500 (multiplicity 4)
Pb: 0.000 0.000 0.500 (multiplicity 2)

Its crystal system is tetragonal. For the polymorph energy (0 for the lowest one), the calculation gives 0.0 kJ/mol of atoms.

***

Li2NiPb after structural relaxation, computed with PBE-GGA.

a = 3.1658 Å, b = 3.1658 Å, c = 25.7197 Å
α = 90.00°, β = 90.00°, γ = 120.00°
Space group R-3m (No. 166, hexagonal axes)
Inequivalent atoms, fractional coordinates:
Li: 0.0000 0.0000 0.2362 (multiplicity 6)
Ni: 0.0000 0.0000 0.5000 (multiplicity 3)
Pb: 0.0000 0.0000 0.0000 (multiplicity 3)

The energy comes out at -3.16 eV per atom. Its crystal system is trigonal.

***

LiNiPb2 after structural relaxation, computed with PBE-GGA.

a = 3.629 Å, b = 4.396 Å, c = 5.358 Å
α = 90.00°, β = 108.94°, γ = 90.00°
Space group Pm (No. 6)
Inequivalent atoms, fractional coordinates:
Li: 0.000 0.000 0.000 (multiplicity 1)
Ni: 0.145 0.500 0.298 (multiplicity 1)
Pb: 0.441 0.500 0.877 (multiplicity 1)
Pb: 0.707 0.000 0.435 (multiplicity 1)

The energy comes out at -3.77 eV per atom. Its crystal system is monoclinic.

***

LiNiPb2 after structural relaxation, computed with PBE-GGA.

a = 3.401 Å, b = 3.347 Å, c = 7.396 Å
α = 90.00°, β = 90.67°, γ = 90.00°
Space group P2/m (No. 10)
Inequivalent atoms, fractional coordinates:
Li: 0.000 0.000 0.000 (multiplicity 1)
Ni: 0.000 0.000 0.500 (multiplicity 1)
Pb: 0.499 0.500 0.280 (multiplicity 2)

The energy comes out at -3.80 eV per atom. Its crystal system is monoclinic.

***

Li2NiPb after structural relaxation, computed with PBE-GGA.

a = 3.134 Å, b = 4.429 Å, c = 5.133 Å
α = 90.00°, β = 105.90°, γ = 90.00°
Space group P2/m (No. 10)
Inequivalent atoms, fractional coordinates:
Li: 0.193 0.000 0.278 (multiplicity 2)
Ni: 0.000 0.500 0.500 (multiplicity 1)
Pb: 0.500 0.500 0.000 (multiplicity 1)

The energy comes out at -3.34 eV per atom. Its crystal system is monoclinic.

***

LiNiPb2 after structural relaxation, computed with PBE-GGA.

a = 4.3734 Å, b = 4.3734 Å, c = 16.3705 Å
α = 90.00°, β = 90.00°, γ = 120.00°
Space group R3m (No. 160, hexagonal axes)
Inequivalent atoms, fractional coordinates:
Li: 0.0000 0.0000 0.0000 (multiplicity 3)
Ni: 0.0000 0.0000 0.1744 (multiplicity 3)
Pb: 0.0000 0.0000 0.5687 (multiplicity 3)
Pb: 0.0000 0.0000 0.7730 (multiplicity 3)

The energy comes out at -3.80 eV per atom. Its crystal system is trigonal.

***

LiNi3Pb after structural relaxation, computed with PBE-GGA.

a = 4.842 Å, b = 4.842 Å, c = 4.842 Å
α = 90.00°, β = 90.00°, γ = 90.00°
Space group Pm-3m (No. 221)
Inequivalent atoms, fractional coordinates:
Li: 0.000 0.000 0.000 (multiplicity 1)
Ni: 0.000 0.500 0.500 (multiplicity 3)
Pb: 0.500 0.500 0.500 (multiplicity 1)

Its crystal system is cubic. For the polymorph energy (0 for the lowest one), the calculation gives 44.8 kJ/mol of atoms.

***

LiNiPb2 after structural relaxation, computed with PBE-GGA.

a = 8.730 Å, b = 8.730 Å, c = 5.217 Å
α = 90.00°, β = 90.00°, γ = 90.00°
Space group I-42d (No. 122)
Inequivalent atoms, fractional coordinates:
Li: 0.000 0.000 0.000 (multiplicity 4)
Ni: 0.000 0.000 0.500 (multiplicity 4)
Pb: 0.141 0.250 0.625 (multiplicity 8)

The energy comes out at -3.67 eV per atom. Its crystal system is tetragonal.

***

LiNi2Pb after structural relaxation, computed with PBE-GGA.

a = 3.133 Å, b = 3.480 Å, c = 5.494 Å
α = 90.00°, β = 90.00°, γ = 90.00°
Space group Pmmm (No. 47)
Inequivalent atoms, fractional coordinates:
Li: 0.000 0.000 0.000 (multiplicity 1)
Ni: 0.500 0.500 0.230 (multiplicity 2)
Pb: 0.000 0.000 0.500 (multiplicity 1)

The energy comes out at -4.13 eV per atom. Its crystal system is orthorhombic.

***

Li2Ni2Pb after structural relaxation, computed with PBE-GGA.

a = 3.729 Å, b = 3.729 Å, c = 11.594 Å
α = 90.00°, β = 90.00°, γ = 90.00°
Space group I4/mmm (No. 139)
Inequivalent atoms, fractional coordinates:
Li: 0.000 0.500 0.250 (multiplicity 4)
Ni: 0.000 0.000 0.099 (multiplicity 4)
Pb: 0.000 0.000 0.500 (multiplicity 2)

Its crystal system is tetragonal. For the polymorph energy (0 for the lowest one), the calculation gives 17.7 kJ/mol of atoms.

***

LiNiPb2 after structural relaxation, computed with PBE-GGA.

a = 3.4318 Å, b = 3.4318 Å, c = 25.6731 Å
α = 90.00°, β = 90.00°, γ = 120.00°
Space group R-3m (No. 166, hexagonal axes)
Inequivalent atoms, fractional coordinates:
Li: 0.0000 0.0000 0.0000 (multiplicity 3)
Ni: 0.0000 0.0000 0.5000 (multiplicity 3)
Pb: 0.0000 0.0000 0.2402 (multiplicity 6)

The energy comes out at -3.76 eV per atom. Its crystal system is trigonal.

***

LiNiPb2 after structural relaxation, computed with PBE-GGA.

a = 3.788 Å, b = 3.788 Å, c = 5.756 Å
α = 90.00°, β = 90.00°, γ = 90.00°
Space group P4mm (No. 99)
Inequivalent atoms, fractional coordinates:
Li: 0.000 0.000 0.000 (multiplicity 1)
Ni: 0.500 0.500 0.281 (multiplicity 1)
Pb: 0.000 0.000 0.455 (multiplicity 1)
Pb: 0.500 0.500 0.802 (multiplicity 1)

The energy comes out at -3.69 eV per atom. Its crystal system is tetragonal.

***

Li2NiPb after structural relaxation, computed with PBE-GGA.

a = 7.507 Å, b = 7.507 Å, c = 5.125 Å
α = 90.00°, β = 90.00°, γ = 90.00°
Space group I-42d (No. 122)
Inequivalent atoms, fractional coordinates:
Li: 0.195 0.250 0.125 (multiplicity 8)
Ni: 0.000 0.000 0.000 (multiplicity 4)
Pb: 0.000 0.000 0.500 (multiplicity 4)

The energy comes out at -3.27 eV per atom. Its crystal system is tetragonal.

***

LiNiPb2 after structural relaxation, computed with PBE-GGA.

a = 4.059 Å, b = 4.059 Å, c = 10.063 Å
α = 90.00°, β = 90.00°, γ = 90.00°
Space group I-4m2 (No. 119)
Inequivalent atoms, fractional coordinates:
Li: 0.000 0.000 0.000 (multiplicity 2)
Ni: 0.000 0.500 0.750 (multiplicity 2)
Pb: 0.000 0.000 0.500 (multiplicity 2)
Pb: 0.000 0.500 0.250 (multiplicity 2)

The energy comes out at -3.68 eV per atom. Its crystal system is tetragonal.